{"formula": "HgAuBr2", "functional": "PBE-GGA", "state": "relaxed", "lattice_angstrom": [[1.797, 1.038, 11.173], [-1.797, 1.038, 11.173], [0.000, -2.075, 11.173]], "species": ["Hg", "Au", "Br", "Br"], "frac_coords": [[0.000, 0.000, 0.000], [0.500, 0.500, 0.500], [0.429, 0.429, 0.429], [0.571, 0.571, 0.571]], "mass_density_g_cm3": 7.4, "polymorph_energy_mev_per_atom": 182, "energy_ev_per_atom": -1.67, "formation_energy_uncorrected_ev_per_atom": 0.06, "crystal_system": "trigonal", "dos_at_fermi_per_ev_fu": 3.9}

{"formula": "Zr2HgAu", "functional": "PBE-GGA", "state": "relaxed", "lattice_angstrom": [[-3.903, 3.903, 2.992], [3.903, -3.903, 2.992], [3.903, 3.903, -2.992]], "species": ["Zr", "Zr", "Zr", "Zr", "Hg", "Hg", "Au", "Au"], "frac_coords": [[0.106, 0.625, 0.981], [0.375, 0.356, 0.481], [0.644, 0.125, 0.019], [0.875, 0.894, 0.519], [0.250, 0.750, 0.500], [0.500, 0.500, 0.000], [0.000, 0.000, 0.000], [0.750, 0.250, 0.500]], "mass_density_g_cm3": 10.6, "energy_ev_per_atom": -5.13, "e_form_ev_per_atom": 0.035, "crystal_system": "tetragonal", "dos_at_fermi_per_ev_fu": 5.0}

{"formula": "Tb4Pm4Nd3", "functional": "PBE-GGA", "state": "relaxed", "lattice_angstrom": [[-1.814, 4.750, 11.096], [1.814, -4.750, 11.096], [1.814, 4.750, -11.096]], "species": ["Tb", "Tb", "Tb", "Tb", "Pm", "Pm", "Pm", "Pm", "Nd", "Nd", "Nd"], "frac_coords": [[0.183, 0.000, 0.183], [0.241, 0.241, 0.000], [0.759, 0.759, 0.000], [0.817, 0.000, 0.817], [0.177, 0.854, 0.322], [0.468, 0.146, 0.322], [0.532, 0.854, 0.678], [0.823, 0.146, 0.678], [0.109, 0.609, 0.500], [0.500, 0.500, 0.000], [0.891, 0.391, 0.500]], "mass_density_g_cm3": 7.2, "polymorph_energy_mev_per_atom": 0, "energy_ev_per_atom": -4.58, "e_form_ev_per_atom": 0.131, "crystal_system": "orthorhombic", "dos_at_fermi_per_ev_fu": 15.6}

{"formula": "ZrTl2I2Cl4", "functional": "PBE-GGA", "state": "relaxed", "lattice_angstrom": [[6.804, -3.657, 0.000], [6.804, 3.657, 0.000], [-3.871, 0.000, 6.388]], "species": ["Zr", "Tl", "Tl", "I", "I", "Cl", "Cl", "Cl", "Cl"], "frac_coords": [[0.000, 0.000, 0.000], [0.255, 0.255, 0.812], [0.745, 0.745, 0.188], [0.245, 0.245, 0.320], [0.755, 0.755, 0.680], [0.200, 0.724, 0.192], [0.276, 0.800, 0.808], [0.724, 0.200, 0.192], [0.800, 0.276, 0.808]], "mass_density_g_cm3": 4.7, "energy_ev_per_atom": -3.91, "formation_energy_uncorrected_ev_per_atom": -1.27, "crystal_system": "monoclinic", "dos_at_fermi_per_ev_fu": 0.0}